# PBE Tl3B3S10, relaxed
data_Tl3B3S10
_space_group_name_H-M_alt 'P -1'
_space_group_IT_number 2
_cell_length_a 7.0499
_cell_length_b 7.9913
_cell_length_c 13.9619
_cell_angle_alpha 102.97
_cell_angle_beta 93.29
_cell_angle_gamma 95.98
loop_
_space_group_symop_operation_xyz
'x,y,z'
'-x,-y,-z'
loop_
_atom_site_label
_atom_site_type_symbol
_atom_site_fract_x
_atom_site_fract_y
_atom_site_fract_z
Tl1 Tl 0.0097 0.3745 0.2969
Tl2 Tl 0.2742 0.9366 0.3425
Tl3 Tl 0.3181 0.6864 0.9838
B1 B 0.1038 0.1169 0.9140
B2 B 0.2596 0.2240 0.7412
B3 B 0.3673 0.4150 0.5887
S1 S 0.0752 0.2857 0.8376
S2 S 0.1357 0.0279 0.1232
S3 S 0.1386 0.2324 0.0503
S4 S 0.1695 0.2499 0.6137
S5 S 0.2420 0.5547 0.5155
S6 S 0.2970 0.9856 0.7308
S7 S 0.3286 0.0057 0.8825
S8 S 0.4647 0.7267 0.4864
S9 S 0.4792 0.5585 0.7122
S10 S 0.4908 0.6423 0.2185
# Uncorrected formation energy: -0.362 eV/atom
# Volume: 759.7 Å³/cell
# Raw total energy: -0.3408 Ry per atom